No. 1
The following is a PBE calculation of crystalline Pm6P2C at its relaxed geometry, from Alexandria.

## Properties
**E_tot**: -6.08 eV per atom
**Energy of formation**: -66.5 kJ per mole of atoms

```
data_Pm6P2C
_space_group_name_H-M_alt 'P 1 21/c 1'
_space_group_IT_number 14
_space_group_name_Hall '-P 2ybc'
_cell_length_a 6.414
_cell_length_b 7.611
_cell_length_c 11.274
_cell_angle_alpha 90.00
_cell_angle_beta 122.53
_cell_angle_gamma 90.00
loop_
_atom_site_label
_atom_site_fract_x
_atom_site_fract_y
_atom_site_fract_z
Pm1 0.109 0.034 0.249
Pm2 0.201 0.701 0.058
Pm3 0.386 0.172 0.056
P1 0.316 0.120 0.754
C1 0.000 0.000 0.000
```

=====

No. 2
The following is a PBE calculation of crystalline Pm2PC at its relaxed geometry, from Alexandria.

## Properties
**E_tot**: -6.64 eV per atom
**Energy of formation**: -58.2 kJ per mole of atoms

```
data_Pm2PC
_space_group_name_H-M_alt 'R -3 m'
_space_group_IT_number 166
_space_group_name_Hall '-R 3 2"'
_cell_length_a 3.8843
_cell_length_b 3.8843
_cell_length_c 19.7104
_cell_angle_alpha 90.00
_cell_angle_beta 90.00
_cell_angle_gamma 120.00
loop_
_atom_site_label
_atom_site_fract_x
_atom_site_fract_y
_atom_site_fract_z
Pm1 0.0000 0.0000 0.2412
P1 0.0000 0.0000 0.0000
C1 0.0000 0.0000 0.5000
```

=====

No. 3
The following is a PBE calculation of crystalline Pm6PC2S3 at its relaxed geometry, from Alexandria.

## Properties
**E_tot**: -6.78 eV per atom

```
data_Pm6PC2S3
_space_group_name_H-M_alt 'C 1 2/m 1'
_space_group_IT_number 12
_space_group_name_Hall '-C 2y'
_cell_length_a 17.386
_cell_length_b 3.930
_cell_length_c 8.047
_cell_angle_alpha 90.00
_cell_angle_beta 104.38
_cell_angle_gamma 90.00
loop_
_atom_site_label
_atom_site_fract_x
_atom_site_fract_y
_atom_site_fract_z
Pm1 0.013 0.000 0.255
Pm2 0.169 0.500 0.112
Pm3 0.175 0.500 0.565
P1 0.000 0.500 0.000
C1 0.169 0.000 0.336
S1 0.000 0.500 0.500
S2 0.164 0.000 0.832
```

=====

No. 4
The following is a PBE calculation of crystalline Pm6P2CS3 at its relaxed geometry, from Alexandria.

## Properties
**E_tot**: -6.70 eV per atom

```
data_Pm6P2CS3
_space_group_name_H-M_alt 'C 1 2/m 1'
_space_group_IT_number 12
_space_group_name_Hall '-C 2y'
_cell_length_a 17.640
_cell_length_b 4.005
_cell_length_c 8.131
_cell_angle_alpha 90.00
_cell_angle_beta 103.71
_cell_angle_gamma 90.00
loop_
_atom_site_label
_atom_site_fract_x
_atom_site_fract_y
_atom_site_fract_z
Pm1 0.000 0.000 0.221
Pm2 0.153 0.500 0.079
Pm3 0.166 0.500 0.580
P1 0.166 0.000 0.332
C1 0.000 0.500 0.000
S1 0.000 0.500 0.500
S2 0.168 0.000 0.835
```

=====

No. 5
The following is a PBE calculation of crystalline Pm6P2CSe3 at its relaxed geometry, from Alexandria.

## Properties
**E_tot**: -6.46 eV per atom

```
data_Pm6P2CSe3
_space_group_name_H-M_alt 'C 1 2/m 1'
_space_group_IT_number 12
_space_group_name_Hall '-C 2y'
_cell_length_a 18.057
_cell_length_b 4.058
_cell_length_c 8.338
_cell_angle_alpha 90.00
_cell_angle_beta 104.70
_cell_angle_gamma 90.00
loop_
_atom_site_label
_atom_site_fract_x
_atom_site_fract_y
_atom_site_fract_z
Pm1 0.002 0.000 0.216
Pm2 0.150 0.500 0.084
Pm3 0.169 0.500 0.574
P1 0.165 0.000 0.332
C1 0.000 0.500 0.000
Se1 0.000 0.500 0.500
Se2 0.170 0.000 0.836
```

=====

No. 6
The following is a PBE calculation of crystalline Pm6PC2Se3 at its relaxed geometry, from Alexandria.

## Properties
**E_tot**: -6.53 eV per atom

```
data_Pm6PC2Se3
_space_group_name_H-M_alt 'C 1 2/m 1'
_space_group_IT_number 12
_space_group_name_Hall '-C 2y'
_cell_length_a 17.812
_cell_length_b 3.981
_cell_length_c 8.251
_cell_angle_alpha 90.00
_cell_angle_beta 105.47
_cell_angle_gamma 90.00
loop_
_atom_site_label
_atom_site_fract_x
_atom_site_fract_y
_atom_site_fract_z
Pm1 0.016 0.000 0.251
Pm2 0.167 0.500 0.117
Pm3 0.177 0.500 0.560
P1 0.000 0.500 0.000
C1 0.169 0.000 0.336
Se1 0.000 0.500 0.500
Se2 0.163 0.000 0.832
```

=====

No. 7
The following is a PBE calculation of crystalline Pm8P3CSe3 at its relaxed geometry, from Alexandria.

## Properties
**E_tot**: -6.36 eV per atom

```
data_Pm8P3CSe3
_space_group_name_H-M_alt 'R -3 m'
_space_group_IT_number 166
_space_group_name_Hall '-R 3 2"'
_cell_length_a 8.1768
_cell_length_b 8.1768
_cell_length_c 20.6425
_cell_angle_alpha 90.00
_cell_angle_beta 90.00
_cell_angle_gamma 120.00
loop_
_atom_site_label
_atom_site_fract_x
_atom_site_fract_y
_atom_site_fract_z
Pm1 0.0000 0.0000 0.2431
Pm2 0.0265 0.5132 0.2381
P1 0.0000 0.5000 0.5000
C1 0.0000 0.0000 0.5000
Se1 0.0000 0.5000 0.0000
```

=====

No. 8
The following is a PBE calculation of crystalline Pm4PCSe2 at its relaxed geometry, from Alexandria.

## Properties
**E_tot**: -6.48 eV per atom

```
data_Pm4PCSe2
_space_group_name_H-M_alt 'P 1 2/m 1'
_space_group_IT_number 10
_space_group_name_Hall '-P 2y'
_cell_length_a 7.021
_cell_length_b 4.020
_cell_length_c 7.197
_cell_angle_alpha 90.00
_cell_angle_beta 108.69
_cell_angle_gamma 90.00
loop_
_atom_site_label
_atom_site_fract_x
_atom_site_fract_y
_atom_site_fract_z
Pm1 0.223 0.000 0.214
Pm2 0.241 0.500 0.778
P1 0.500 0.000 0.000
C1 0.000 0.500 0.000
Se1 0.000 0.000 0.500
Se2 0.500 0.500 0.500
```

=====

No. 9
The following is a PBE calculation of crystalline PmTc2PC at its relaxed geometry, from Alexandria.

## Properties
**E_tot**: -8.64 eV per atom
**Energy of formation**: -59.2 kJ per mole of atoms

```
data_PmTc2PC
_space_group_name_H-M_alt 'C m c m'
_space_group_IT_number 63
_space_group_name_Hall '-C 2c 2'
_cell_length_a 3.946
_cell_length_b 10.973
_cell_length_c 7.192
_cell_angle_alpha 90.00
_cell_angle_beta 90.00
_cell_angle_gamma 90.00
loop_
_atom_site_label
_atom_site_fract_x
_atom_site_fract_y
_atom_site_fract_z
Pm1 0.000 0.043 0.250
Tc1 0.000 0.328 0.060
P1 0.000 0.233 0.750
C1 0.000 0.500 0.000
```

=====

No. 10
The following is a PBE calculation of crystalline Pm2Tc2P2C at its relaxed geometry, from Alexandria.

## Properties
**E_tot**: -8.07 eV per atom
**Energy of formation**: -85.9 kJ per mole of atoms

```
data_Pm2Tc2P2C
_space_group_name_H-M_alt 'C 1 2/m 1'
_space_group_IT_number 12
_space_group_name_Hall '-C 2y'
_cell_length_a 11.250
_cell_length_b 3.978
_cell_length_c 6.835
_cell_angle_alpha 90.00
_cell_angle_beta 124.95
_cell_angle_gamma 90.00
loop_
_atom_site_label
_atom_site_fract_x
_atom_site_fract_y
_atom_site_fract_z
Pm1 0.065 0.000 0.310
Tc1 0.197 0.500 0.087
P1 0.180 0.500 0.720
C1 0.000 0.500 0.000
```

=====

No. 11
The following is a PBE calculation of crystalline Pm6Te3P2C at its relaxed geometry, from Alexandria.

## Properties
**E_tot**: -6.14 eV per atom

```
data_Pm6Te3P2C
_space_group_name_H-M_alt 'C 1 2/m 1'
_space_group_IT_number 12
_space_group_name_Hall '-C 2y'
_cell_length_a 18.771
_cell_length_b 4.140
_cell_length_c 8.692
_cell_angle_alpha 90.00
_cell_angle_beta 106.45
_cell_angle_gamma 90.00
loop_
_atom_site_label
_atom_site_fract_x
_atom_site_fract_y
_atom_site_fract_z
Pm1 0.004 0.000 0.208
Pm2 0.145 0.500 0.092
Pm3 0.173 0.500 0.565
Te1 0.000 0.500 0.500
Te2 0.172 0.000 0.837
P1 0.165 0.000 0.332
C1 0.000 0.500 0.000
```

=====

No. 12
The following is a PBE calculation of crystalline Pm4Te2PC at its relaxed geometry, from Alexandria.

## Properties
**E_tot**: -6.16 eV per atom

```
data_Pm4Te2PC
_space_group_name_H-M_alt 'P 1 2/m 1'
_space_group_IT_number 10
_space_group_name_Hall '-P 2y'
_cell_length_a 7.154
_cell_length_b 4.099
_cell_length_c 7.580
_cell_angle_alpha 90.00
_cell_angle_beta 108.09
_cell_angle_gamma 90.00
loop_
_atom_site_label
_atom_site_fract_x
_atom_site_fract_y
_atom_site_fract_z
Pm1 0.217 0.000 0.199
Pm2 0.245 0.500 0.795
Te1 0.000 0.000 0.500
Te2 0.500 0.500 0.500
P1 0.500 0.000 0.000
C1 0.000 0.500 0.000
```

=====

E_tot of number 7 (Pm8P3CSe3)? -6.36 eV per atom